A relaxed LiTeI3 crystal, computed with PBE.

Properties
crystal system = triclinic
energy relative to the elements, uncorrected = -0.454 eV/atom
mass density = 4.5 g cm⁻³
total magnetic moment = 0.00 μB per cell
energy relative to the lowest polymorph listed for this composition = 0.0000 eV per atom
total DFT energy (no corrections) = -2.395 eV per atom

Cell: 4.3277 11.1444 10.1934 Å, 126.98 89.98 101.04°
Last column: nearest neighbours and their distance in Å.
Positions (direct):
Li 0.6742 0.3471 0.3608  5 I 2.82-3.01
Li 0.3258 0.6529 0.6392  5 I 2.82-3.01
Te 0.7106 0.4203 0.0345  1 I 2.81, 2 Te 3.12
Te 0.2894 0.5797 0.9655  1 I 2.81, 2 Te 3.12
I 0.4269 0.8595 0.2906  1 Te 2.81
I 0.1790 0.3560 0.5576  3 Li 2.82-2.91
I 0.8838 0.7707 0.8957  2 Li 3.01
I 0.1162 0.2293 0.1043  2 Li 3.01
I 0.5731 0.1405 0.7094  1 Te 2.81
I 0.8210 0.6440 0.4424  3 Li 2.82-2.91